# 1
A plane-wave DFT calculation with PBE was carried out for a relaxed structure of Cs2InSe2.

Output
Density of states at the Fermi level, states/eV/cell: 0.5
Calculated volume, Å³/cell: 831
Density, Mg/m³: 4.306
ΔE_f (raw), eV per atom: -0.970

Unit cell a=10.982 b=9.315 c=8.582 alpha=90.00 beta=108.89 gamma=90.00
Fractional coordinates of all 20 atoms:
Cs (0.061, 0.242, 0.028)
Cs (0.061, 0.258, 0.528)
Cs (0.328, 0.606, 0.927)
Cs (0.328, 0.894, 0.427)
Cs (0.672, 0.106, 0.573)
Cs (0.672, 0.394, 0.073)
Cs (0.939, 0.742, 0.472)
Cs (0.939, 0.758, 0.972)
In (0.380, 0.075, 0.923)
In (0.380, 0.425, 0.423)
In (0.620, 0.575, 0.577)
In (0.620, 0.925, 0.077)
Se (0.156, 0.550, 0.303)
Se (0.156, 0.950, 0.803)
Se (0.411, 0.222, 0.217)
Se (0.411, 0.278, 0.717)
Se (0.589, 0.722, 0.283)
Se (0.589, 0.778, 0.783)
Se (0.844, 0.050, 0.197)
Se (0.844, 0.450, 0.697)


# 2
A plane-wave DFT calculation with PBE was carried out for a relaxed structure of TaSBr.

Output
Density of states at the Fermi level, states/eV/cell: 4.0
Calculated volume, Å³/cell: 281
Density, Mg/m³: 6.920
ΔE_f (raw), eV per atom: -0.749

Unit cell a=7.638 b=6.668 c=5.780 alpha=90.00 beta=107.23 gamma=90.00
Fractional coordinates of all 12 atoms:
Ta (0.000, 0.127, 0.227)
Ta (0.000, 0.373, 0.727)
Ta (0.000, 0.627, 0.273)
Ta (0.000, 0.873, 0.773)
S (0.218, 0.129, 0.997)
S (0.218, 0.371, 0.497)
S (0.782, 0.629, 0.503)
S (0.782, 0.871, 0.003)
Br (0.256, 0.621, 0.014)
Br (0.256, 0.879, 0.514)
Br (0.744, 0.121, 0.486)
Br (0.744, 0.379, 0.986)


# 3
A plane-wave DFT calculation with PBE was carried out for a relaxed structure of Sm8Hg4Se3S.

Output
Density of states at the Fermi level, states/eV/cell: 7.7
Calculated volume, Å³/cell: 440
Density, Mg/m³: 8.580
ΔE_f (raw), eV per atom: -1.143

Unit cell a=8.966 b=8.966 c=8.966 alpha=54.16 beta=54.16 gamma=54.16
Fractional coordinates of all 16 atoms:
Sm (0.243, 0.243, 0.243)
Sm (0.248, 0.737, 0.737)
Sm (0.263, 0.263, 0.752)
Sm (0.263, 0.752, 0.263)
Sm (0.737, 0.248, 0.737)
Sm (0.737, 0.737, 0.248)
Sm (0.752, 0.263, 0.263)
Sm (0.757, 0.757, 0.757)
Hg (0.000, 0.000, 0.000)
Hg (0.000, 0.500, 0.500)
Hg (0.500, 0.000, 0.500)
Hg (0.500, 0.500, 0.000)
Se (0.000, 0.000, 0.500)
Se (0.000, 0.500, 0.000)
Se (0.500, 0.000, 0.000)
S (0.500, 0.500, 0.500)


# 4
A plane-wave DFT calculation with PBE was carried out for a relaxed structure of PrZnAu4.

Output
Density of states at the Fermi level, states/eV/cell: 4.7
Calculated volume, Å³/cell: 255
DFT formation energy, kJ/mol of atoms: -42.60
Density, Mg/m³: 12.965
Excess energy over the best structure of this formula in the dataset, kJ/mol of atoms: 0.00

Unit cell a=6.312 b=6.312 c=7.318 alpha=104.94 beta=104.94 gamma=66.70
Fractional coordinates of all 12 atoms:
Pr (0.180, 0.180, 0.287)
Pr (0.820, 0.820, 0.713)
Zn (0.410, 0.410, 0.747)
Zn (0.590, 0.590, 0.253)
Au (0.165, 0.165, 0.697)
Au (0.168, 0.605, 0.062)
Au (0.298, 0.702, 0.500)
Au (0.395, 0.832, 0.938)
Au (0.605, 0.168, 0.062)
Au (0.702, 0.298, 0.500)
Au (0.832, 0.395, 0.938)
Au (0.835, 0.835, 0.303)